[1]
A geometry-optimized La2Si3SbPt4 structure. Source: Alexandria, functional PBE-GGA.

The structure in POSCAR format:
```
La2Si3SbPt4
1.0
4.413 0.000 0.000
0.000 4.413 0.000
0.000 0.000 10.105
La Si Sb Pt
2 3 1 4
direct
0.000 0.500 0.242
0.500 0.000 0.758
0.000 0.500 0.879
0.500 0.000 0.121
0.500 0.500 0.500
0.000 0.000 0.500
0.000 0.000 0.000
0.000 0.500 0.639
0.500 0.000 0.361
0.500 0.500 0.000
```



[2]
A geometry-optimized PmYCd6 structure. Source: Alexandria, functional PBE-GGA.

The structure in POSCAR format:
```
PmYCd6
1.0
4.924 0.000 0.000
0.000 3.568 5.546
0.000 -3.568 5.546
Pm Y Cd
1 1 6
direct
0.000 0.000 0.000
0.500 0.280 0.280
0.000 0.466 0.466
0.000 0.514 0.951
0.000 0.951 0.514
0.500 0.332 0.764
0.500 0.764 0.332
0.500 0.810 0.810
```

ΔH_f (0 K) ... -300 meV per atom



[3]
A geometry-optimized CuSb2Pd6 structure. Source: Alexandria, functional PBE-GGA.

The structure in POSCAR format:
```
CuSb2Pd6
1.0
4.320 -2.132 0.000
4.320 2.132 0.000
-2.147 0.000 7.997
Cu Sb Pd
1 2 6
direct
0.000 0.000 0.000
0.325 0.325 0.756
0.675 0.675 0.244
0.003 0.003 0.681
0.334 0.334 0.434
0.348 0.348 0.085
0.652 0.652 0.915
0.666 0.666 0.566
0.997 0.997 0.319
```



[4]
A geometry-optimized PrSiAgO4 structure. Source: Alexandria, functional PBE-GGA.

The structure in POSCAR format:
```
PrSiAgO4
1.0
6.006 0.000 0.000
0.000 5.358 0.000
-2.466 0.000 7.679
Pr Si Ag O
2 2 2 8
direct
0.204 0.250 0.432
0.796 0.750 0.568
0.341 0.750 0.669
0.659 0.250 0.331
0.289 0.250 0.924
0.711 0.750 0.076
0.175 0.508 0.679
0.175 0.992 0.679
0.366 0.750 0.470
0.389 0.250 0.203
0.611 0.750 0.797
0.634 0.250 0.530
0.825 0.008 0.321
0.825 0.492 0.321
```



Electronic total energy (computed, eV per atom): -6.457 -2.389 -5.185 -7.103
Total magnetization (computed, μB/f.u.): 0.0 0.0 0.0 0.0
D(E_F) (computed, states/eV per cell): 6.73 4.02 2.93 0.00